1.
The following is a DFT calculation (PBE-GGA) of crystalline LiAc2Si3Rh4 at its relaxed geometry.

Summary:
total magnetic moment	0.000	μB/f.u.
formation energy (no corrections)	-890.4	meV per atom
symmetry	P-4m2

abc: 4.195 4.195 10.510
angles: 90.00 90.00 90.00
Fractional coordinates of all 10 atoms:
Si  0.500  0.000  0.881
Si  0.000  0.000  0.500
Si  0.000  0.500  0.119
Ac  0.500  0.000  0.256
Ac  0.000  0.500  0.744
Rh  0.500  0.500  0.000
Rh  0.000  0.000  0.000
Rh  0.000  0.500  0.365
Rh  0.500  0.000  0.635
Li  0.500  0.500  0.500

=====

2.
The following is a DFT calculation (PBE-GGA) of crystalline Sm6TmSe8 at its relaxed geometry.

Summary:
total magnetic moment	0.000	μB/f.u.
formation energy (no corrections)	-1860.8	meV per atom
symmetry	Fm-3m

abc: 8.305 8.305 8.305
angles: 60.00 60.00 60.00
Fractional coordinates of all 15 atoms:
Se  0.246  0.754  0.754
Se  0.750  0.750  0.750
Se  0.754  0.754  0.246
Se  0.250  0.250  0.250
Se  0.754  0.246  0.246
Se  0.246  0.754  0.246
Se  0.246  0.246  0.754
Se  0.754  0.246  0.754
Sm  0.000  0.500  0.500
Sm  0.500  0.500  0.000
Sm  0.000  0.500  0.000
Sm  0.500  0.000  0.000
Sm  0.000  0.000  0.500
Sm  0.500  0.000  0.500
Tm  0.000  0.000  0.000

=====

3.
The following is a DFT calculation (PBE-GGA) of crystalline LiInAs2Br at its relaxed geometry.

Summary:
total magnetic moment	1.102	μB/f.u.
formation energy (no corrections)	258.7	meV per atom
symmetry	P4/mmm
excess energy over the best structure of this formula in the dataset	47.2	meV/atom

abc: 5.224 5.224 5.957
angles: 90.00 90.00 90.00
Site moments in Bohr magnetons follow the coordinates.
Fractional coordinates of all 5 atoms:
Li  0.500  0.500  0.500  0.00
Br  0.000  0.000  0.500  0.09
As  0.500  0.000  0.000  0.23
As  0.000  0.500  0.000  0.23
In  0.000  0.000  0.000  -0.01

=====

4.
The following is a DFT calculation (PBE-GGA) of crystalline LaAgN at its relaxed geometry.

Summary:
total magnetic moment	0.265	μB/f.u.
formation energy (no corrections)	-195.7	meV per atom
symmetry	I4/mmm

abc: 3.827 3.827 9.323
angles: 101.84 101.84 90.00
Site moments in Bohr magnetons follow the coordinates.
Fractional coordinates of all 6 atoms:
La  0.087  0.087  0.173  0.00
La  0.913  0.913  0.827  0.00
N  0.500  0.000  0.000  0.17
N  0.000  0.500  0.000  0.17
Ag  0.277  0.277  0.553  0.00
Ag  0.723  0.723  0.447  0.00

=====

5.
The following is a DFT calculation (PBE-GGA) of crystalline Na2ErSn3S6 at its relaxed geometry.

Summary:
total magnetic moment	0.000	μB/f.u.
formation energy (no corrections)	-945.4	meV per atom
symmetry	C2/m

abc: 7.045 7.045 7.045
angles: 99.44 99.44 120.53
Fractional coordinates of all 12 atoms:
Na  0.669  0.331  0.000
Na  0.331  0.669  0.000
S  0.090  0.393  0.242
S  0.230  0.230  0.744
S  0.910  0.607  0.758
S  0.770  0.770  0.256
S  0.607  0.910  0.758
S  0.393  0.090  0.242
Er  0.000  0.000  0.000
Sn  0.838  0.162  0.500
Sn  0.500  0.500  0.500
Sn  0.162  0.838  0.500

=====

6.
The following is a DFT calculation (PBE-GGA) of crystalline AlBiPb at its relaxed geometry.

Summary:
total magnetic moment	0.000	μB/f.u.
symmetry	F-43m
excess energy over the best structure of this formula in the dataset	0.0	meV/atom
formation enthalpy at 0 K	158	meV per atom

abc: 5.045 5.045 5.045
angles: 60.00 60.00 60.00
Fractional coordinates of all 3 atoms:
Bi  0.000  0.000  0.000
Al  0.250  0.250  0.250
Pb  0.500  0.500  0.500

=====

> What is the formula in the fifth record?

Na2ErSn3S6

=====

Please write out number 5 again, unchanged.
The following is a DFT calculation (PBE-GGA) of crystalline Na2ErSn3S6 at its relaxed geometry.

Summary:
total magnetic moment	0.000	μB/f.u.
formation energy (no corrections)	-945.4	meV per atom
symmetry	C2/m

abc: 7.045 7.045 7.045
angles: 99.44 99.44 120.53
Fractional coordinates of all 12 atoms:
Na  0.669  0.331  0.000
Na  0.331  0.669  0.000
S  0.090  0.393  0.242
S  0.230  0.230  0.744
S  0.910  0.607  0.758
S  0.770  0.770  0.256
S  0.607  0.910  0.758
S  0.393  0.090  0.242
Er  0.000  0.000  0.000
Sn  0.838  0.162  0.500
Sn  0.500  0.500  0.500
Sn  0.162  0.838  0.500